[1]
First-principles (PBE) data for an optimized crystal structure of NaTa2TcIr, as listed in Alexandria.

Results
For the formation energy from the elements, the calculation gives 1.499 eV per atom.

Unit cell a=4.8275 b=4.8683 c=4.8275 alpha=90.00 beta=90.00 gamma=90.00
Closest atoms and distances in Å follow each position.
Element x y z (fractional)
Na 0.0000 0.5000 0.0000  2 Ir 2.43
Ir 0.0000 0.0000 0.0000  4 Ta 2.41, 2 Na 2.43
Tc 0.5000 0.5000 0.5000  4 Na 3.41, 8 Ta 3.43
Ta 0.0000 0.0000 0.5000  2 Ir 2.41
Ta 0.5000 0.0000 0.0000  2 Ir 2.41

[2]
First-principles (PBE) data for an optimized crystal structure of NaTaIr2W, as listed in Alexandria.

Results
For the formation energy from the elements, the calculation gives 1.900 eV per atom.

Unit cell a=4.7205 b=4.6870 c=4.7205 alpha=90.00 beta=90.00 gamma=90.00
Closest atoms and distances in Å follow each position.
Element x y z (fractional)
Na 0.0000 0.5000 0.0000  2 W 2.34
Ir 0.0000 0.0000 0.5000  2 W 2.36
Ir 0.5000 0.0000 0.0000  2 W 2.36
W 0.0000 0.0000 0.0000  2 Na 2.34, 4 Ir 2.36
Ta 0.5000 0.5000 0.5000  8 Ir 3.33, 4 Na 3.34

[3]
First-principles (PBE) data for an optimized crystal structure of NaTa2ZnIr, as listed in Alexandria.

Results
For the formation energy from the elements, the calculation gives 2.092 eV per atom.

Unit cell a=4.6533 b=4.2334 c=4.6533 alpha=90.00 beta=90.00 gamma=90.00
Closest atoms and distances in Å follow each position.
Element x y z (fractional)
Na 0.0000 0.0000 0.0000  2 Zn 2.12, 4 Ta 2.33
Zn 0.0000 0.5000 0.0000  2 Na 2.12
Ir 0.5000 0.5000 0.5000  8 Ta 3.15, 4 Zn 3.29
Ta 0.0000 0.0000 0.5000  2 Na 2.33
Ta 0.5000 0.0000 0.0000  2 Na 2.33

Number 1: N(E_F) 6.4 states/eV per cell, magnetic moment 1.5 Bohr magnetons per cell. Number 2: N(E_F) 7.2 states/eV per cell, magnetic moment 0.0 Bohr magnetons per cell. Number 3: N(E_F) 4.5 states/eV per cell, magnetic moment 0.0 Bohr magnetons per cell.